[1]
A geometry-optimized SrLa2Hg structure, computed with PBE. Values from VASP.

Geometry as Quantum ESPRESSO input:
```
&SYSTEM
  ibrav = 0, nat = 4, ntyp = 3
/
ATOMIC_SPECIES
La 138.91 La.upf
Hg 200.59 Hg.upf
Sr 87.62 Sr.upf
CELL_PARAMETERS angstrom
5.958 0.001 0.005
-2.810 6.490 0.010
0.337 1.069 3.580
ATOMIC_POSITIONS angstrom
La 0.000 0.000 0.000
La 3.147 0.535 1.793
Hg 1.574 3.245 0.007
Sr -1.236 3.779 1.795
```

=====

[2]
A geometry-optimized Zn3IBr structure, computed with PBE. Values from VASP.

Results
The value obtained for the excess energy over the best structure of this formula in the dataset is 0.00 eV/f.u. The formation energy from raw total energies comes out at 354 meV/atom.

Geometry as Quantum ESPRESSO input:
```
&SYSTEM
  ibrav = 0, nat = 5, ntyp = 3
/
ATOMIC_SPECIES
Br 79.90 Br.upf
Zn 65.41 Zn.upf
I 126.90 I.upf
CELL_PARAMETERS angstrom
-4.752 -1.852 1.956
2.504 -1.571 4.594
-0.995 4.893 2.216
ATOMIC_POSITIONS angstrom
Br 0.000 0.000 0.000
Zn 1.252 -0.786 2.297
Zn -0.498 2.446 1.108
Zn -2.376 -0.926 0.978
I -1.622 0.735 4.383
```

=====

Number 1: total energy -3.013 eV per atom, N(E_F) 4.390 states/eV/f.u.. Number 2: total energy -1.055 eV per atom, N(E_F) 1.877 states/eV/f.u..